1.
6
Lattice="0.0000 3.8871 3.8871 3.8871 0.0000 3.8871 3.8871 3.8871 0.0000" Properties=species:S:1:pos:R:3 comment="KPt4Br | the Alexandria database | PBE | relaxed" sg="F-43m (216)" dos_ef_per_ev_cell=9.5 formation_energy_uncorrected_ev_per_atom=0.235 pbc="T T T"
K 0.0000 0.0000 0.0000
Pt 4.8643 2.9099 4.8643
Pt 2.9099 4.8643 4.8643
Pt 2.9099 2.9099 2.9099
Pt 4.8643 4.8643 2.9099
Br 5.8306 5.8306 5.8306

***

2.
14
Lattice="7.9953 0.8725 -0.5421 3.3640 7.3055 -0.5421 3.3719 2.4275 8.6695" Properties=species:S:1:pos:R:3 comment="KPtBr5 | the Alexandria database | PBE | relaxed" sg="C2/c (15)" dos_ef_per_ev_cell=12.4 formation_energy_uncorrected_ev_per_atom=-0.627 pbc="T T T"
Br 6.3919 8.4330 5.9600
Br 3.2352 5.0388 0.5193
Br 4.6148 6.0950 4.2499
Br 8.3393 2.1725 1.6253
Br 10.1164 4.5105 3.3353
Br 5.5582 1.2289 -0.0848
Br 9.1730 9.3766 7.6700
Br 7.4908 2.6832 4.8540
Br 7.2403 7.9223 2.7313
Br 11.4960 5.5667 7.0660
K 8.3578 5.7024 5.9600
K 6.3734 4.9031 1.6253
Pt 1.6859 1.2138 4.3347
Pt 0.0000 0.0000 0.0000

***

3.
7
Lattice="-2.5342 5.1430 -4.8048 -5.8112 -4.4101 -1.6555 -2.3624 1.8870 3.2658" Properties=species:S:1:pos:R:3 comment="K2PtBr4 | the Alexandria database | PBE | relaxed" sg="P4/mmm (123)" formation_energy_uncorrected_ev_per_atom=-1.120 de_polymorph_mev_per_atom=0 pbc="T T T"
Br -6.3986 0.5620 -4.9532
Br -3.2987 2.9145 -4.0702
Br -5.0467 -2.1816 -2.3901
Br -1.9468 0.1710 -1.5070
K -2.4483 3.5150 -0.7695
K -4.0868 -1.2615 0.8052
Pt 0.0000 0.0000 0.0000

***

4.
4
Lattice="6.3531 -0.5553 0.0000 -4.7318 4.2756 0.0000 0.0000 0.0000 8.0863" Properties=species:S:1:pos:R:3 comment="KPtBr2 | the Alexandria database | PBE | relaxed" sg="Cmmm (65)" dos_ef_per_ev_cell=1.0 formation_energy_uncorrected_ev_per_atom=-0.417 de_polymorph_mev_per_atom=235 pbc="T T T"
K 0.8107 1.8601 2.0216
Pt 0.8107 1.8601 6.0647
Br 0.0000 0.0000 7.7001
Br 0.0000 0.0000 4.4294